The following is a meta-GGA SCAN calculation of a PBEsol-optimized structure of ErMg3, from Alexandria via LeMat-Bulk.

Cell lengths 7.219, 7.219, 7.219 Å; angles 90.00, 90.00, 90.00 degrees
Space group Fm-3m (No. 225)
Inequivalent atoms, fractional coordinates:
Er 0.000 0.000 0.000 x4
Mg 0.000 0.000 0.500 x4
Mg 0.250 0.250 0.250 x8

Output
**V**: 94 Å³/f.u.
**Final energy**: -16.37 eV per atom
**Energy of formation from the pure elements**: -0.0497 eV per atom